A plane-wave DFT calculation with PBE was carried out for an optimized crystal structure of Sm5Ho5Ge6.

Properties
- Symmetry: Amm2
- Total energy: -86.59 eV/cell
- D(E_F): 0.80 states/eV per atom
- Energy of formation: -775 meV per atom

a b c (Å): 6.4660 8.5964 8.5964
angles (deg): 119.84 90.00 90.00
Closest atoms and distances in Å follow each position.
Fractional coordinates of all 16 atoms:
Sm  0.0000  0.7560  0.9999  3 Ge 2.97-3.12
Sm  0.0000  0.9999  0.7560  3 Ge 2.97-3.12
Sm  0.5000  0.7540  0.7540  3 Ge 2.98-3.08
Sm  0.5000  0.2437  0.0010  3 Ge 2.97-3.10
Sm  0.5000  0.0010  0.2437  3 Ge 2.97-3.10
Ho  0.7502  0.3332  0.6665  6 Ge 3.09-3.12, 2 Ho 3.23-3.24
Ho  0.7502  0.6665  0.3332  6 Ge 3.09-3.12, 2 Ho 3.23-3.24
Ho  0.2498  0.6665  0.3332  6 Ge 3.09-3.12, 2 Ho 3.23-3.24
Ho  0.2498  0.3332  0.6665  6 Ge 3.09-3.12, 2 Ho 3.23-3.24
Ho  0.0000  0.2460  0.2460  3 Ge 2.94-3.06
Ge  0.0000  0.6015  0.6015  2 Sm 2.99, 5 Ho 3.06-3.09
Ge  0.0000  0.3945  0.0029  5 Ho 2.94-3.12, 2 Sm 2.97-3.12
Ge  0.0000  0.0029  0.3945  5 Ho 2.94-3.12, 2 Sm 2.97-3.12
Ge  0.5000  0.3964  0.3964  3 Sm 2.97-3.08, 4 Ho 3.09
Ge  0.5000  0.6043  0.0004  3 Sm 2.98-3.10, 4 Ho 3.09-3.10
Ge  0.5000  0.0004  0.6043  3 Sm 2.98-3.10, 4 Ho 3.09-3.10